# 1
# Cs2Mn3S4, optimized geometry, DFT GGA-PBE
# Calculated total energy, eV/atom: -5.887
data_Cs2Mn3S4
_chemical_formula_sum 'Cs8 Mn12 S16'
_cell_length_a 6.1205
_cell_length_b 11.6611
_cell_length_c 14.2011
_cell_angle_alpha 90.00
_cell_angle_beta 90.00
_cell_angle_gamma 90.00
_space_group_name_H-M_alt 'I b a m'
_space_group_IT_number 72
_space_group_name_Hall '-I 2 2c'
loop_
_atom_site_label
_atom_site_type_symbol
_atom_site_fract_x
_atom_site_fract_y
_atom_site_fract_z
Cs1 Cs 0.2371 0.1201 0.0000
Mn1 Mn 0.0000 0.2250 0.2500
Mn2 Mn 0.0000 0.5000 0.2500
S1 S 0.2166 0.3650 0.1560

***

# 2
# CsMnS2, optimized geometry, DFT GGA-PBE
# DOS(E_F), states/eV/f.u.: 1.57
# Calculated total energy, eV/atom: -5.358
data_CsMnS2
_chemical_formula_sum 'Cs4 Mn4 S8'
_cell_length_a 9.7908
_cell_length_b 7.0878
_cell_length_c 7.0938
_cell_angle_alpha 90.00
_cell_angle_beta 99.32
_cell_angle_gamma 90.00
_space_group_name_H-M_alt 'P 1 21/c 1'
_space_group_IT_number 14
_space_group_name_Hall '-P 2ybc'
loop_
_atom_site_label
_atom_site_type_symbol
_atom_site_fract_x
_atom_site_fract_y
_atom_site_fract_z
Cs1 Cs 0.1819 0.0431 0.2964
Mn1 Mn 0.4122 0.5828 0.3560
S1 S 0.1926 0.5449 0.2944
S2 S 0.4786 0.6929 0.6530

***

# 3
# CsMn5S8, optimized geometry, DFT GGA-PBE
# DOS(E_F), states/eV/f.u.: 9.09
# Calculated total energy, eV/atom: -6.345
data_CsMn5S8
_chemical_formula_sum 'Cs2 Mn10 S16'
_cell_length_a 17.6842
_cell_length_b 3.4953
_cell_length_c 8.8678
_cell_angle_alpha 90.00
_cell_angle_beta 105.72
_cell_angle_gamma 90.00
_space_group_name_H-M_alt 'C 1 2/m 1'
_space_group_IT_number 12
_space_group_name_Hall '-C 2y'
loop_
_atom_site_label
_atom_site_type_symbol
_atom_site_fract_x
_atom_site_fract_y
_atom_site_fract_z
Cs1 Cs 0.0000 0.0000 0.0000
Mn1 Mn 0.0000 0.5000 0.5000
Mn2 Mn 0.1647 0.0000 0.4999
Mn3 Mn 0.2056 0.0000 0.8362
S1 S 0.0740 0.0000 0.6541
S2 S 0.0911 0.5000 0.3506
S3 S 0.1687 0.5000 0.9833
S4 S 0.2436 0.5000 0.6566

***

# 4
# CsMnS, optimized geometry, DFT GGA-PBE
# DOS(E_F), states/eV/f.u.: 1.68
# Calculated total energy, eV/atom: -5.092
data_CsMnS
_chemical_formula_sum 'Cs4 Mn4 S4'
_cell_length_a 6.8000
_cell_length_b 3.9303
_cell_length_c 13.1398
_cell_angle_alpha 90.00
_cell_angle_beta 97.21
_cell_angle_gamma 90.00
_space_group_name_H-M_alt 'C 1 2/m 1'
_space_group_IT_number 12
_space_group_name_Hall '-C 2y'
loop_
_atom_site_label
_atom_site_type_symbol
_atom_site_fract_x
_atom_site_fract_y
_atom_site_fract_z
Cs1 Cs 0.0736 0.0000 0.3030
Mn1 Mn 0.1524 0.5000 0.9402
S1 S 0.1949 0.5000 0.1166

***

# 5
# CsMnS2, optimized geometry, DFT GGA-PBE
# DOS(E_F), states/eV/f.u.: 9.82
# Calculated total energy, eV/atom: -4.847
data_CsMnS2
_chemical_formula_sum 'Cs3 Mn3 S6'
_cell_length_a 4.9076
_cell_length_b 4.9076
_cell_length_c 25.4068
_cell_angle_alpha 90.00
_cell_angle_beta 90.00
_cell_angle_gamma 120.00
_space_group_name_H-M_alt 'R -3 m'
_space_group_IT_number 166
_space_group_name_Hall '-R 3 2"'
loop_
_atom_site_label
_atom_site_type_symbol
_atom_site_fract_x
_atom_site_fract_y
_atom_site_fract_z
Cs1 Cs 0.0000 0.0000 0.0000
Mn1 Mn 0.0000 0.0000 0.5000
S1 S 0.0000 0.0000 0.4161

***

# 6
# CsMnS2, optimized geometry, DFT GGA-PBE
# DOS(E_F), states/eV/f.u.: 3.98
# Calculated total energy, eV/atom: -4.378
data_CsMnS2
_chemical_formula_sum 'Cs4 Mn4 S8'
_cell_length_a 7.3082
_cell_length_b 7.3082
_cell_length_c 7.3082
_cell_angle_alpha 90.00
_cell_angle_beta 90.00
_cell_angle_gamma 90.00
_space_group_name_H-M_alt 'F m -3 m'
_space_group_IT_number 225
_space_group_name_Hall '-F 4 2 3'
loop_
_atom_site_label
_atom_site_type_symbol
_atom_site_fract_x
_atom_site_fract_y
_atom_site_fract_z
Cs1 Cs 0.0000 0.0000 0.0000
Mn1 Mn 0.0000 0.0000 0.5000
S1 S 0.2500 0.2500 0.2500

***

# 7
# Cs2MnS, optimized geometry, DFT GGA-PBE
# DOS(E_F), states/eV/f.u.: 1.04
# Calculated total energy, eV/atom: -3.531
data_Cs2MnS
_chemical_formula_sum 'Cs8 Mn4 S4'
_cell_length_a 8.2507
_cell_length_b 8.2507
_cell_length_c 8.2507
_cell_angle_alpha 90.00
_cell_angle_beta 90.00
_cell_angle_gamma 90.00
_space_group_name_H-M_alt 'F m -3 m'
_space_group_IT_number 225
_space_group_name_Hall '-F 4 2 3'
loop_
_atom_site_label
_atom_site_type_symbol
_atom_site_fract_x
_atom_site_fract_y
_atom_site_fract_z
Cs1 Cs 0.2500 0.2500 0.2500
Mn1 Mn 0.0000 0.0000 0.0000
S1 S 0.0000 0.0000 0.5000

***

# 8
# Cs3MnS4, optimized geometry, DFT GGA-PBE
# Calculated total energy, eV/atom: -4.500
data_Cs3MnS4
_chemical_formula_sum 'Cs12 Mn4 S16'
_cell_length_a 9.7919
_cell_length_b 11.8050
_cell_length_c 9.7644
_cell_angle_alpha 90.00
_cell_angle_beta 90.00
_cell_angle_gamma 90.00
_space_group_name_H-M_alt 'P n m a'
_space_group_IT_number 62
_space_group_name_Hall '-P 2ac 2n'
loop_
_atom_site_label
_atom_site_type_symbol
_atom_site_fract_x
_atom_site_fract_y
_atom_site_fract_z
Cs1 Cs 0.0421 0.0430 0.2087
Cs2 Cs 0.1525 0.7500 0.4088
Mn1 Mn 0.2238 0.7500 0.9838
S1 S 0.0226 0.7500 0.0649
S2 S 0.1736 0.1016 0.5486
S3 S 0.2124 0.7500 0.7671

***

# 9
# Cs3Sc2MnS6, optimized geometry, DFT GGA-PBE
# Calculated total energy, eV/atom: -5.432
data_Cs3Sc2MnS6
_chemical_formula_sum 'Cs6 Sc4 Mn2 S12'
_cell_length_a 6.8775
_cell_length_b 11.3709
_cell_length_c 8.2669
_cell_angle_alpha 90.00
_cell_angle_beta 107.08
_cell_angle_gamma 90.00
_space_group_name_H-M_alt 'C 1 2/m 1'
_space_group_IT_number 12
_space_group_name_Hall '-C 2y'
loop_
_atom_site_label
_atom_site_type_symbol
_atom_site_fract_x
_atom_site_fract_y
_atom_site_fract_z
Cs1 Cs 0.0000 0.0000 0.0000
Cs2 Cs 0.0000 0.3296 0.0000
Sc1 Sc 0.0000 0.1627 0.5000
Mn1 Mn 0.0000 0.5000 0.5000
S1 S 0.2103 0.3425 0.6632
S2 S 0.2156 0.0000 0.6842

***

# 10
# Cs3Sc3MnS8, optimized geometry, DFT GGA-PBE
# Calculated total energy, eV/atom: -5.691
data_Cs3Sc3MnS8
_chemical_formula_sum 'Cs9 Sc9 Mn3 S24'
_cell_length_a 7.5405
_cell_length_b 7.5405
_cell_length_c 24.3589
_cell_angle_alpha 90.00
_cell_angle_beta 90.00
_cell_angle_gamma 120.00
_space_group_name_H-M_alt 'R -3 m'
_space_group_IT_number 166
_space_group_name_Hall '-R 3 2"'
loop_
_atom_site_label
_atom_site_type_symbol
_atom_site_fract_x
_atom_site_fract_y
_atom_site_fract_z
Cs1 Cs 0.0000 0.5000 0.0000
Sc1 Sc 0.0000 0.5000 0.5000
Mn1 Mn 0.0000 0.0000 0.5000
S1 S 0.0000 0.0000 0.2244
S2 S 0.0212 0.5106 0.2215

***

# 11
# CsScMnS3, optimized geometry, DFT GGA-PBE
# DOS(E_F), states/eV/f.u.: 0.35
# Calculated total energy, eV/atom: -6.126
data_CsScMnS3
_chemical_formula_sum 'Cs2 Sc2 Mn2 S6'
_cell_length_a 9.0784
_cell_length_b 3.9581
_cell_length_c 9.8932
_cell_angle_alpha 90.00
_cell_angle_beta 113.46
_cell_angle_gamma 90.00
_space_group_name_H-M_alt 'P 1 21/m 1'
_space_group_IT_number 11
_space_group_name_Hall '-P 2yb'
loop_
_atom_site_label
_atom_site_type_symbol
_atom_site_fract_x
_atom_site_fract_y
_atom_site_fract_z
Cs1 Cs 0.2274 0.2500 0.2484
Sc1 Sc 0.3361 0.7500 0.8698
Mn1 Mn 0.0886 0.2500 0.6185
S1 S 0.1367 0.2500 0.8655
S2 S 0.2015 0.7500 0.5572
S3 S 0.4836 0.7500 0.1454

***

# 12
# CsScMnS2, optimized geometry, DFT GGA-PBE
# DOS(E_F), states/eV/f.u.: 5.95
# Calculated total energy, eV/atom: -3.633
data_CsScMnS2
_chemical_formula_sum 'Cs1 Sc1 Mn1 S2'
_cell_length_a 5.7202
_cell_length_b 5.7202
_cell_length_c 5.2167
_cell_angle_alpha 90.00
_cell_angle_beta 90.00
_cell_angle_gamma 90.00
_space_group_name_H-M_alt 'P 4/m m m'
_space_group_IT_number 123
_space_group_name_Hall '-P 4 2'
loop_
_atom_site_label
_atom_site_type_symbol
_atom_site_fract_x
_atom_site_fract_y
_atom_site_fract_z
Cs1 Cs 0.0000 0.0000 0.0000
Sc1 Sc 0.5000 0.5000 0.5000
Mn1 Mn 0.0000 0.0000 0.5000
S1 S 0.0000 0.5000 0.0000

***

# 13
# Cs2MnSiS4, optimized geometry, DFT GGA-PBE
# Calculated total energy, eV/atom: -5.124
data_Cs2MnSiS4
_chemical_formula_sum 'Cs16 Mn8 Si8 S32'
_cell_length_a 5.8731
_cell_length_b 14.0432
_cell_length_c 25.0891
_cell_angle_alpha 90.00
_cell_angle_beta 90.00
_cell_angle_gamma 90.00
_space_group_name_H-M_alt 'F d d d'
_space_group_IT_number 70
loop_
_space_group_symop_operation_xyz
'x,y,z'
'-x,-y,-z'
'-x+1/4,-y+1/4,z'
'x+1/4,y+1/4,-z'
'x,-y+1/4,-z+1/4'
'-x,y+1/4,z+1/4'
'-x+1/4,y,-z+1/4'
'x+1/4,-y,z+1/4'
'x,y+1/2,z+1/2'
'-x,-y+1/2,-z+1/2'
'-x+1/4,-y+3/4,z+1/2'
'x+1/4,y+3/4,-z+1/2'
'x,-y+3/4,-z+3/4'
'-x,y+3/4,z+3/4'
'-x+1/4,y+1/2,-z+3/4'
'x+1/4,-y+1/2,z+3/4'
'x+1/2,y,z+1/2'
'-x+1/2,-y,-z+1/2'
'-x+3/4,-y+1/4,z+1/2'
'x+3/4,y+1/4,-z+1/2'
'x+1/2,-y+1/4,-z+3/4'
'-x+1/2,y+1/4,z+3/4'
'-x+3/4,y,-z+3/4'
'x+3/4,-y,z+3/4'
'x+1/2,y+1/2,z'
'-x+1/2,-y+1/2,-z'
'-x+3/4,-y+3/4,z'
'x+3/4,y+3/4,-z'
'x+1/2,-y+3/4,-z+1/4'
'-x+1/2,y+3/4,z+1/4'
'-x+3/4,y+1/2,-z+1/4'
'x+3/4,-y+1/2,z+1/4'
loop_
_atom_site_label
_atom_site_type_symbol
_atom_site_fract_x
_atom_site_fract_y
_atom_site_fract_z
Cs1 Cs 0.1250 0.1250 0.3017
Mn1 Mn 0.1250 0.1250 0.1250
Si1 Si 0.1250 0.1250 0.6250
S1 S 0.0929 0.2868 0.8268

***

# 14
# Cs3Sm3MnS8, optimized geometry, DFT GGA-PBE
# Calculated total energy, eV/atom: -5.416
data_Cs3Sm3MnS8
_chemical_formula_sum 'Cs9 Sm9 Mn3 S24'
_cell_length_a 8.0551
_cell_length_b 8.0551
_cell_length_c 24.6604
_cell_angle_alpha 90.00
_cell_angle_beta 90.00
_cell_angle_gamma 120.00
_space_group_name_H-M_alt 'R -3 m'
_space_group_IT_number 166
_space_group_name_Hall '-R 3 2"'
loop_
_atom_site_label
_atom_site_type_symbol
_atom_site_fract_x
_atom_site_fract_y
_atom_site_fract_z
Cs1 Cs 0.0000 0.5000 0.0000
Sm1 Sm 0.0000 0.5000 0.5000
Mn1 Mn 0.0000 0.0000 0.5000
S1 S 0.0000 0.0000 0.2289
S2 S 0.0395 0.5197 0.2226

***

# 15
# CsSmMnS4, optimized geometry, DFT GGA-PBE
# DOS(E_F), states/eV/f.u.: 2.47
# Calculated total energy, eV/atom: -5.690
data_CsSmMnS4
_chemical_formula_sum 'Cs2 Sm2 Mn2 S8'
_cell_length_a 6.7032
_cell_length_b 6.4524
_cell_length_c 9.4817
_cell_angle_alpha 90.00
_cell_angle_beta 107.24
_cell_angle_gamma 90.00
_space_group_name_H-M_alt 'P 1 21/m 1'
_space_group_IT_number 11
_space_group_name_Hall '-P 2yb'
loop_
_atom_site_label
_atom_site_type_symbol
_atom_site_fract_x
_atom_site_fract_y
_atom_site_fract_z
Cs1 Cs 0.2327 0.2500 0.4400
Sm1 Sm 0.2635 0.2500 0.9520
Mn1 Mn 0.2810 0.7500 0.1653
S1 S 0.0728 0.7500 0.3036
S2 S 0.0883 0.7500 0.9378
S3 S 0.4918 0.5014 0.8036

***

# 16
# Cs2MnSnS4, optimized geometry, DFT GGA-PBE
# Calculated total energy, eV/atom: -4.795
data_Cs2MnSnS4
_chemical_formula_sum 'Cs16 Mn8 Sn8 S32'
_cell_length_a 6.1790
_cell_length_b 14.4926
_cell_length_c 24.8118
_cell_angle_alpha 90.00
_cell_angle_beta 90.00
_cell_angle_gamma 90.00
_space_group_name_H-M_alt 'F d d d'
_space_group_IT_number 70
loop_
_space_group_symop_operation_xyz
'x,y,z'
'-x,-y,-z'
'-x+1/4,-y+1/4,z'
'x+1/4,y+1/4,-z'
'x,-y+1/4,-z+1/4'
'-x,y+1/4,z+1/4'
'-x+1/4,y,-z+1/4'
'x+1/4,-y,z+1/4'
'x,y+1/2,z+1/2'
'-x,-y+1/2,-z+1/2'
'-x+1/4,-y+3/4,z+1/2'
'x+1/4,y+3/4,-z+1/2'
'x,-y+3/4,-z+3/4'
'-x,y+3/4,z+3/4'
'-x+1/4,y+1/2,-z+3/4'
'x+1/4,-y+1/2,z+3/4'
'x+1/2,y,z+1/2'
'-x+1/2,-y,-z+1/2'
'-x+3/4,-y+1/4,z+1/2'
'x+3/4,y+1/4,-z+1/2'
'x+1/2,-y+1/4,-z+3/4'
'-x+1/2,y+1/4,z+3/4'
'-x+3/4,y,-z+3/4'
'x+3/4,-y,z+3/4'
'x+1/2,y+1/2,z'
'-x+1/2,-y+1/2,-z'
'-x+3/4,-y+3/4,z'
'x+3/4,y+3/4,-z'
'x+1/2,-y+3/4,-z+1/4'
'-x+1/2,y+3/4,z+1/4'
'-x+3/4,y+1/2,-z+1/4'
'x+3/4,-y+1/2,z+1/4'
loop_
_atom_site_label
_atom_site_type_symbol
_atom_site_fract_x
_atom_site_fract_y
_atom_site_fract_z
Cs1 Cs 0.1250 0.1250 0.3039
Mn1 Mn 0.1250 0.1250 0.6250
Sn1 Sn 0.1250 0.1250 0.1250
S1 S 0.1214 0.2821 0.4277

***

# 17
# CsTbMn2S4, optimized geometry, DFT GGA-PBE
# Calculated total energy, eV/atom: -5.772
data_CsTbMn2S4
_chemical_formula_sum 'Cs2 Tb2 Mn4 S8'
_cell_length_a 6.6591
_cell_length_b 8.3818
_cell_length_c 9.1487
_cell_angle_alpha 90.00
_cell_angle_beta 90.00
_cell_angle_gamma 90.00
_space_group_name_H-M_alt 'I 2 2 2'
_space_group_IT_number 23
_space_group_name_Hall 'I 2 2'
loop_
_atom_site_label
_atom_site_type_symbol
_atom_site_fract_x
_atom_site_fract_y
_atom_site_fract_z
Cs1 Cs 0.0000 0.0000 0.0000
Tb1 Tb 0.0000 0.0000 0.5000
Mn1 Mn 0.0000 0.5000 0.1062
S1 S 0.2471 0.3454 0.8273

***

# 18
# Cs3Tb3MnS8, optimized geometry, DFT GGA-PBE
# Calculated total energy, eV/atom: -5.423
data_Cs3Tb3MnS8
_chemical_formula_sum 'Cs9 Tb9 Mn3 S24'
_cell_length_a 7.9300
_cell_length_b 7.9300
_cell_length_c 24.6233
_cell_angle_alpha 90.00
_cell_angle_beta 90.00
_cell_angle_gamma 120.00
_space_group_name_H-M_alt 'R -3 m'
_space_group_IT_number 166
_space_group_name_Hall '-R 3 2"'
loop_
_atom_site_label
_atom_site_type_symbol
_atom_site_fract_x
_atom_site_fract_y
_atom_site_fract_z
Cs1 Cs 0.0000 0.5000 0.0000
Tb1 Tb 0.0000 0.5000 0.5000
Mn1 Mn 0.0000 0.0000 0.5000
S1 S 0.0000 0.0000 0.2278
S2 S 0.0351 0.5175 0.2225

***

# 19
# CsThMnS4, optimized geometry, DFT GGA-PBE
# Calculated total energy, eV/atom: -5.981
data_CsThMnS4
_chemical_formula_sum 'Cs4 Th4 Mn4 S16'
_cell_length_a 7.3964
_cell_length_b 8.7862
_cell_length_c 12.7814
_cell_angle_alpha 90.00
_cell_angle_beta 90.00
_cell_angle_gamma 90.00
_space_group_name_H-M_alt 'I m m a'
_space_group_IT_number 74
_space_group_name_Hall '-I 2b 2'
loop_
_atom_site_label
_atom_site_type_symbol
_atom_site_fract_x
_atom_site_fract_y
_atom_site_fract_z
Cs1 Cs 0.0000 0.2500 0.1804
Th1 Th 0.0000 0.0000 0.5000
Mn1 Mn 0.2500 0.2500 0.7500
S1 S 0.0000 0.0806 0.7261
S2 S 0.2272 0.2500 0.5083

***

# 20
# Cs2TiMnS4, optimized geometry, DFT GGA-PBE
# Calculated total energy, eV/atom: -5.645
data_Cs2TiMnS4
_chemical_formula_sum 'Cs16 Ti8 Mn8 S32'
_cell_length_a 5.8702
_cell_length_b 14.3082
_cell_length_c 25.1204
_cell_angle_alpha 90.00
_cell_angle_beta 90.00
_cell_angle_gamma 90.00
_space_group_name_H-M_alt 'F d d d'
_space_group_IT_number 70
loop_
_space_group_symop_operation_xyz
'x,y,z'
'-x,-y,-z'
'-x+1/4,-y+1/4,z'
'x+1/4,y+1/4,-z'
'x,-y+1/4,-z+1/4'
'-x,y+1/4,z+1/4'
'-x+1/4,y,-z+1/4'
'x+1/4,-y,z+1/4'
'x,y+1/2,z+1/2'
'-x,-y+1/2,-z+1/2'
'-x+1/4,-y+3/4,z+1/2'
'x+1/4,y+3/4,-z+1/2'
'x,-y+3/4,-z+3/4'
'-x,y+3/4,z+3/4'
'-x+1/4,y+1/2,-z+3/4'
'x+1/4,-y+1/2,z+3/4'
'x+1/2,y,z+1/2'
'-x+1/2,-y,-z+1/2'
'-x+3/4,-y+1/4,z+1/2'
'x+3/4,y+1/4,-z+1/2'
'x+1/2,-y+1/4,-z+3/4'
'-x+1/2,y+1/4,z+3/4'
'-x+3/4,y,-z+3/4'
'x+3/4,-y,z+3/4'
'x+1/2,y+1/2,z'
'-x+1/2,-y+1/2,-z'
'-x+3/4,-y+3/4,z'
'x+3/4,y+3/4,-z'
'x+1/2,-y+3/4,-z+1/4'
'-x+1/2,y+3/4,z+1/4'
'-x+3/4,y+1/2,-z+1/4'
'x+3/4,-y+1/2,z+1/4'
loop_
_atom_site_label
_atom_site_type_symbol
_atom_site_fract_x
_atom_site_fract_y
_atom_site_fract_z
Cs1 Cs 0.1250 0.1250 0.3008
Ti1 Ti 0.1250 0.1250 0.6250
Mn1 Mn 0.1250 0.1250 0.1250
S1 S 0.1146 0.2839 0.8254